# 1
First-principles (PBE) data for a relaxed Pm4ZnPd crystal, as listed in Alexandria.

```
Pm4ZnPd
1.0
8.495 0.000 4.904
2.832 8.009 4.904
0.000 0.000 9.809
Pd Pm Zn
4 16 4
direct
0.605 0.186 0.605 Pd
0.186 0.605 0.605 Pd
0.605 0.605 0.605 Pd
0.605 0.605 0.186 Pd
0.185 0.815 0.815 Pm
0.185 0.815 0.185 Pm
0.393 0.821 0.393 Pm
0.815 0.185 0.815 Pm
0.393 0.393 0.821 Pm
0.185 0.185 0.815 Pm
0.821 0.393 0.393 Pm
0.556 0.556 0.944 Pm
0.944 0.944 0.556 Pm
0.815 0.185 0.185 Pm
0.556 0.944 0.556 Pm
0.556 0.944 0.944 Pm
0.944 0.556 0.556 Pm
0.393 0.393 0.393 Pm
0.944 0.556 0.944 Pm
0.815 0.815 0.185 Pm
0.170 0.489 0.170 Zn
0.489 0.170 0.170 Zn
0.170 0.170 0.170 Zn
0.170 0.170 0.489 Zn
```

Calculated values
- distance to the lowest polymorph of the same formula (meV per atom) = 0.0
- total moment (μB/atom) = 0.00
- VASP energy (hartree per atom) = -0.16938
- energy relative to the elements (eV per atom) = -0.364


# 2
First-principles (PBE) data for a relaxed SrScP3 crystal, as listed in Alexandria.

```
SrScP3
1.0
-0.831 -3.753 -3.147
-2.512 -2.414 3.542
-4.205 2.183 -1.494
P Sc Sr
3 1 1
direct
0.000 0.500 0.000 P
0.500 0.000 0.000 P
0.000 0.000 0.500 P
0.000 0.000 0.000 Sc
0.500 0.500 0.500 Sr
```

Calculated values
- distance to the lowest polymorph of the same formula (meV per atom) = 0.0
- total moment (μB/atom) = 0.00
- VASP energy (hartree per atom) = -0.19394
- energy relative to the elements (eV per atom) = -0.429


# 3
First-principles (PBE) data for a relaxed ZnInTc2 crystal, as listed in Alexandria.

```
ZnInTc2
1.0
2.778 0.002 0.000
-0.901 2.627 0.000
0.000 0.000 8.814
Zn Tc In
1 2 1
direct
0.500 0.500 0.250 Zn
0.000 0.000 0.489 Tc
0.000 0.000 0.011 Tc
0.500 0.500 0.750 In
```

Calculated values
- distance to the lowest polymorph of the same formula (meV per atom) = 331.1
- total moment (μB/atom) = 0.00
- VASP energy (hartree per atom) = -0.21276
- energy relative to the elements (eV per atom) = 0.397


# 4
First-principles (PBE) data for a relaxed BeNbN2F crystal, as listed in Alexandria.

```
BeNbN2F
1.0
-2.331 -2.678 2.009
3.198 -1.056 2.302
-0.974 2.840 2.656
N F Be Nb
2 1 1 1
direct
0.000 0.500 0.000 N
0.500 0.000 0.000 N
0.000 0.000 0.500 F
0.500 0.500 0.500 Be
0.000 0.000 0.000 Nb
```

Calculated values
- distance to the lowest polymorph of the same formula (meV per atom) = 481.0
- total moment (μB/atom) = 0.03
- VASP energy (hartree per atom) = -0.23794
- formation energy from raw total energies (eV/atom) = -0.011


# 5
First-principles (PBE) data for a relaxed CsBa2HfP crystal, as listed in Alexandria.

```
CsBa2HfP
1.0
6.299 0.000 0.000
0.000 5.422 0.000
0.000 0.000 6.299
P Hf Ba Cs
1 1 2 1
direct
0.500 0.500 0.500 P
0.000 0.500 0.000 Hf
0.000 0.000 0.500 Ba
0.500 0.000 0.000 Ba
0.000 0.000 0.000 Cs
```

Calculated values
- distance to the lowest polymorph of the same formula (meV per atom) = 1449.5
- total moment (μB/atom) = 0.00
- VASP energy (hartree per atom) = -0.09383
- energy relative to the elements (eV per atom) = 1.459


# 6
First-principles (PBE) data for a relaxed CrAuSe crystal, as listed in Alexandria.

```
CrAuSe
1.0
3.717 -0.728 -0.153
0.712 3.720 -0.153
-0.323 -0.218 7.942
Cr Se Au
2 2 2
direct
0.223 0.223 0.308 Cr
0.777 0.777 0.692 Cr
0.270 0.270 0.635 Se
0.730 0.730 0.365 Se
0.250 0.750 0.000 Au
0.750 0.250 0.000 Au
```

Calculated values
- distance to the lowest polymorph of the same formula (meV per atom) = 31.7
- total moment (μB/atom) = 1.20
- VASP energy (hartree per atom) = -0.20362
- formation energy from raw total energies (eV/atom) = -0.079


# 7
First-principles (PBE) data for a relaxed RbHSe2S crystal, as listed in Alexandria.

```
RbHSe2S
1.0
-2.884 -5.095 -2.033
4.454 -0.834 -4.229
1.865 -1.996 2.358
Se H S Rb
2 1 1 1
direct
0.000 0.500 0.000 Se
0.500 0.000 0.000 Se
0.000 0.000 0.500 H
0.500 0.500 0.500 S
0.000 0.000 0.000 Rb
```

Calculated values
- total moment (μB/atom) = 0.02
- VASP energy (hartree per atom) = -0.06435


# 8
First-principles (PBE) data for a relaxed Nd6Sn3Ir crystal, as listed in Alexandria.

```
Nd6Sn3Ir
1.0
6.294 0.000 0.117
0.000 8.954 0.000
0.207 0.000 11.126
Nd Sn Ir
12 6 2
direct
0.128 0.045 0.765 Nd
0.628 0.455 0.265 Nd
0.098 0.309 0.061 Nd
0.617 0.159 0.941 Nd
0.872 0.955 0.235 Nd
0.117 0.341 0.441 Nd
0.402 0.809 0.439 Nd
0.883 0.659 0.559 Nd
0.598 0.191 0.561 Nd
0.383 0.841 0.059 Nd
0.902 0.691 0.939 Nd
0.372 0.545 0.735 Nd
0.903 0.384 0.761 Sn
0.097 0.616 0.239 Sn
0.597 0.884 0.739 Sn
0.403 0.116 0.261 Sn
0.000 0.000 0.500 Sn
0.500 0.500 0.000 Sn
0.000 0.000 0.000 Ir
0.500 0.500 0.500 Ir
```

Calculated values
- total moment (μB/atom) = 0.00
- VASP energy (hartree per atom) = -0.20263
- energy relative to the elements (eV per atom) = -0.566


# 9
First-principles (PBE) data for a relaxed PmGeIrN crystal, as listed in Alexandria.

```
PmGeIrN
1.0
4.037 0.000 0.000
0.000 4.037 0.000
0.000 0.000 8.434
N Pm Ge Ir
2 2 2 2
direct
0.500 0.000 0.884 N
0.000 0.500 0.116 N
0.500 0.000 0.156 Pm
0.000 0.500 0.844 Pm
0.000 0.500 0.339 Ge
0.500 0.000 0.661 Ge
0.500 0.500 0.500 Ir
0.000 0.000 0.500 Ir
```

Calculated values
- total moment (μB/atom) = 0.00
- VASP energy (hartree per atom) = -0.27365
- formation energy from raw total energies (eV/atom) = -0.808


# 10
First-principles (PBE) data for a relaxed KSe2F crystal, as listed in Alexandria.

```
KSe2F
1.0
0.000 3.552 3.552
3.552 0.000 3.552
3.552 3.552 0.000
Se K F
2 1 1
direct
0.250 0.250 0.250 Se
0.750 0.750 0.750 Se
0.500 0.500 0.500 K
0.000 0.000 0.000 F
```

Calculated values
- distance to the lowest polymorph of the same formula (meV per atom) = 1121.0
- total moment (μB/atom) = 0.00
- VASP energy (hartree per atom) = -0.09368
- formation energy from raw total energies (eV/atom) = -0.065


# 11
First-principles (PBE) data for a relaxed La3SnN crystal, as listed in Alexandria.

```
La3SnN
1.0
4.950 0.000 0.000
0.000 4.950 0.000
0.000 0.000 8.197
Sn N La
1 1 3
direct
0.000 0.000 0.365 Sn
0.500 0.500 0.656 N
0.500 0.000 0.622 La
0.000 0.500 0.622 La
0.000 0.000 0.998 La
```

Calculated values
- total moment (μB/atom) = 0.17
- VASP energy (hartree per atom) = -0.20066
- formation energy from raw total energies (eV/atom) = -0.038


# 12
First-principles (PBE) data for a relaxed SrTaHN2 crystal, as listed in Alexandria.

```
SrTaHN2
1.0
4.133 0.000 0.000
0.000 4.133 0.000
0.000 0.000 3.813
Ta Sr N H
1 1 2 1
direct
0.000 0.000 0.000 Ta
0.500 0.500 0.500 Sr
0.000 0.500 0.000 N
0.500 0.000 0.000 N
0.000 0.000 0.500 H
```

Calculated values
- distance to the lowest polymorph of the same formula (meV per atom) = 0.0
- total moment (μB/atom) = 0.00
- VASP energy (hartree per atom) = -0.27646


# 13
First-principles (PBE) data for a relaxed LaSbPd6 crystal, as listed in Alexandria.

```
LaSbPd6
1.0
-5.444 -1.140 0.225
-1.914 -3.730 3.663
-3.292 3.283 5.853
Sb Pd La
1 6 1
direct
0.000 0.000 0.000 Sb
0.558 0.072 0.299 Pd
0.072 0.558 0.299 Pd
0.442 0.928 0.701 Pd
0.928 0.928 0.701 Pd
0.928 0.442 0.701 Pd
0.072 0.072 0.299 Pd
0.500 0.500 0.500 La
```

Calculated values
- total moment (μB/atom) = 0.00
- VASP energy (hartree per atom) = -0.19675
- formation energy from raw total energies (eV/atom) = -0.328


# 14
First-principles (PBE) data for a relaxed MoRu crystal, as listed in Alexandria.

```
MoRu
1.0
-2.719 -0.345 -0.419
1.680 -2.204 0.087
-1.278 -0.628 8.819
Mo Ru
2 2
direct
0.000 0.000 0.000 Mo
0.000 0.000 0.500 Mo
0.667 0.333 0.750 Ru
0.333 0.667 0.250 Ru
```

Calculated values
- total moment (μB/atom) = 0.00
- VASP energy (hartree per atom) = -0.36602
- energy relative to the elements (eV per atom) = 0.094


# 15
First-principles (PBE) data for a relaxed RbTi2Te4 crystal, as listed in Alexandria.

```
RbTi2Te4
1.0
3.842 0.000 -0.769
-0.379 6.359 -1.891
-0.020 -0.337 9.878
Ti Te Rb
2 4 1
direct
0.250 0.243 0.500 Ti
0.750 0.757 0.500 Ti
0.657 0.000 0.313 Te
0.160 0.498 0.319 Te
0.840 0.502 0.681 Te
0.343 0.000 0.687 Te
0.500 0.500 0.000 Rb
```

Calculated values
- distance to the lowest polymorph of the same formula (meV per atom) = 0.0
- total moment (μB/atom) = 0.10
- VASP energy (hartree per atom) = -0.18384
- formation energy from raw total energies (eV/atom) = -0.813


# 16
First-principles (PBE) data for a relaxed Na5IrO6 crystal, as listed in Alexandria.

```
Na5IrO6
1.0
-0.940 1.181 -5.455
5.810 0.391 2.840
-1.545 -5.494 0.135
Na Ir O
5 1 6
direct
0.667 0.667 0.334 Na
0.328 0.828 0.657 Na
0.672 0.172 0.343 Na
0.000 0.500 0.000 Na
0.333 0.333 0.666 Na
0.000 0.000 0.000 Ir
0.866 0.649 0.720 O
0.854 0.071 0.720 O
0.134 0.351 0.280 O
0.146 0.929 0.280 O
0.411 0.205 0.000 O
0.589 0.795 0.000 O
```

Calculated values
- total moment (μB/atom) = 0.17
- VASP energy (hartree per atom) = -0.18527
- formation energy from raw total energies (eV/atom) = -1.274


# 17
First-principles (PBE) data for a relaxed PmPr4Te5 crystal, as listed in Alexandria.

```
PmPr4Te5
1.0
4.433 0.000 -0.855
-0.329 6.137 -1.704
0.014 0.014 11.986
Te Pr Pm
5 4 1
direct
0.598 0.098 0.196 Te
0.000 0.500 0.000 Te
0.201 0.701 0.401 Te
0.799 0.299 0.599 Te
0.402 0.902 0.804 Te
0.600 0.600 0.201 Pr
0.400 0.400 0.799 Pr
0.801 0.801 0.602 Pr
0.199 0.199 0.398 Pr
0.000 0.000 0.000 Pm
```

Calculated values
- total moment (μB/atom) = 0.00
- VASP energy (hartree per atom) = -0.19803
- formation energy from raw total energies (eV/atom) = -1.431


# 18
First-principles (PBE) data for a relaxed ScNb2Te crystal, as listed in Alexandria.

```
ScNb2Te
1.0
-3.199 0.486 2.443
-2.489 -0.760 -3.109
-2.625 -10.290 1.973
Nb Sc Te
4 2 2
direct
0.118 0.625 0.250 Nb
0.632 0.125 0.250 Nb
0.375 0.368 0.750 Nb
0.875 0.882 0.750 Nb
0.500 0.500 0.000 Sc
0.250 0.750 0.500 Sc
0.750 0.250 0.500 Te
0.000 0.000 0.000 Te
```

Calculated values
- total moment (μB/atom) = 0.00
- VASP energy (hartree per atom) = -0.26898
- formation energy from raw total energies (eV/atom) = 0.084


# 19
First-principles (PBE) data for a relaxed TaRe2Ag crystal, as listed in Alexandria.

```
TaRe2Ag
1.0
-0.996 0.652 4.768
-2.865 -1.166 3.818
2.759 -3.771 1.787
Re Ag Ta
2 1 1
direct
0.000 0.000 0.004 Re
0.500 0.500 0.496 Re
0.250 0.250 0.250 Ag
0.750 0.750 0.750 Ta
```

Calculated values
- distance to the lowest polymorph of the same formula (meV per atom) = 141.3
- total moment (μB/atom) = 0.00
- VASP energy (hartree per atom) = -0.35005
- energy relative to the elements (eV per atom) = 0.375


# 20
First-principles (PBE) data for a relaxed LiPm2ErHg4 crystal, as listed in Alexandria.

```
LiPm2ErHg4
1.0
-0.507 0.979 -5.101
-3.854 -2.236 -2.716
-6.584 6.249 -0.815
Hg Er Pm Li
4 1 2 1
direct
0.626 0.626 0.122 Hg
0.875 0.875 0.375 Hg
0.374 0.374 0.878 Hg
0.125 0.125 0.625 Hg
0.000 0.000 0.000 Er
0.246 0.246 0.262 Pm
0.754 0.754 0.738 Pm
0.500 0.500 0.500 Li
```

Calculated values
- total moment (μB/atom) = 0.00
- VASP energy (hartree per atom) = -0.09582
- energy relative to the elements (eV per atom) = -0.459


# 21
First-principles (PBE) data for a relaxed CuPdSe2Br crystal, as listed in Alexandria.

```
CuPdSe2Br
1.0
4.946 0.000 0.000
0.000 4.946 0.000
0.000 0.000 5.165
Pd Se Br Cu
1 2 1 1
direct
0.000 0.000 0.000 Pd
0.500 0.000 0.000 Se
0.000 0.500 0.000 Se
0.000 0.000 0.500 Br
0.500 0.500 0.500 Cu
```

Calculated values
- distance to the lowest polymorph of the same formula (meV per atom) = 0.0
- total moment (μB/atom) = 0.19
- VASP energy (hartree per atom) = -0.11115
- formation energy from raw total energies (eV/atom) = 0.562


# 22
First-principles (PBE) data for a relaxed Ti2Ge4Pd crystal, as listed in Alexandria.

```
Ti2Ge4Pd
1.0
4.789 0.000 0.000
0.000 4.789 0.000
2.394 2.394 6.395
Ge Pd Ti
4 1 2
direct
0.196 0.196 0.609 Ge
0.000 0.500 0.000 Ge
0.804 0.804 0.391 Ge
0.500 0.000 0.000 Ge
0.000 0.000 0.000 Pd
0.398 0.398 0.204 Ti
0.602 0.602 0.796 Ti
```

Calculated values
- total moment (μB/atom) = 0.00
- VASP energy (hartree per atom) = -0.20011
- energy relative to the elements (eV per atom) = 0.191


# 23
First-principles (PBE) data for a relaxed LiHg2Cl crystal, as listed in Alexandria.

```
LiHg2Cl
1.0
-2.174 2.665 1.083
-0.469 -3.081 1.813
5.728 2.408 5.572
Hg Li Cl
2 1 1
direct
0.000 0.000 0.008 Hg
0.000 0.000 0.492 Hg
0.500 0.500 0.250 Li
0.500 0.500 0.750 Cl
```

Calculated values
- distance to the lowest polymorph of the same formula (meV per atom) = 383.5
- total moment (μB/atom) = 0.00
- VASP energy (hartree per atom) = -0.05655
- formation energy from raw total energies (eV/atom) = -0.448


# 24
First-principles (PBE) data for a relaxed Sm2Pa2Rh3 crystal, as listed in Alexandria.

```
Sm2Pa2Rh3
1.0
3.865 -0.002 1.166
-0.070 5.946 0.241
-0.068 -0.289 7.213
Sm Pa Rh
2 2 3
direct
0.645 0.116 0.710 Sm
0.355 0.884 0.290 Sm
0.093 0.600 0.812 Pa
0.907 0.400 0.188 Pa
0.719 0.652 0.561 Rh
0.000 0.000 0.000 Rh
0.281 0.348 0.439 Rh
```

Calculated values
- total moment (μB/atom) = 0.00
- VASP energy (hartree per atom) = -0.28644
- energy relative to the elements (eV per atom) = -0.582


# 25
First-principles (PBE) data for a relaxed YOsAu2 crystal, as listed in Alexandria.

```
YOsAu2
1.0
3.631 -0.001 0.000
0.001 3.631 0.000
0.000 0.000 5.837
Os Au Y
1 2 1
direct
0.500 0.500 0.250 Os
0.000 0.000 0.017 Au
0.000 0.000 0.483 Au
0.500 0.500 0.750 Y
```

Calculated values
- distance to the lowest polymorph of the same formula (meV per atom) = 189.2
- total moment (μB/atom) = 0.00
- VASP energy (hartree per atom) = -0.22088
- energy relative to the elements (eV per atom) = 0.052